LaCe2Ir: optimized geometry, PBE-GGA.

Results
- E_form (meV/atom) = -314
- D(E_F) (states/eV per cell) = 30.8
- ΔE to the lowest computed polymorph (meV/atom) = 109
- calculated density (g/cm³) = 9.41
- symmetry = No. 63

a = 9.0105 Å, b = 9.0105 Å, c = 10.2776 Å
α = 90.00°, β = 90.00°, γ = 148.84°
Closest atoms and distances in Å follow each position.
Sites, in units of the cell vectors:
La  0.0000  0.0000  0.0000  4 Ir 3.40, 6 Ce 3.74-3.78
La  0.0000  0.0000  0.5000  4 Ir 3.40, 6 Ce 3.74-3.78
La  0.2033  0.7967  0.7500  6 Ce 3.24-3.25
La  0.7967  0.2033  0.2500  6 Ce 3.24-3.25
Ce  0.2063  0.7937  0.1060  3 Ir 2.91, 1 Ce 2.96, 2 La 3.24
Ce  0.2063  0.7937  0.3940  3 Ir 2.91, 1 Ce 2.96, 2 La 3.24
Ce  0.4142  0.5858  0.7500  2 Ir 2.74, 1 Ce 2.85
Ce  0.4216  0.5784  0.2500  2 Ir 2.75, 1 Ce 2.85
Ce  0.5784  0.4216  0.7500  2 Ir 2.75, 1 Ce 2.85
Ce  0.5858  0.4142  0.2500  2 Ir 2.74, 1 Ce 2.85
Ce  0.7937  0.2063  0.6060  3 Ir 2.91, 1 Ce 2.96, 2 La 3.24
Ce  0.7937  0.2063  0.8940  3 Ir 2.91, 1 Ce 2.96, 2 La 3.24
Ir  0.3621  0.6379  0.0017  5 Ce 2.74-2.91
Ir  0.3621  0.6379  0.4983  5 Ce 2.74-2.91
Ir  0.6379  0.3621  0.5017  5 Ce 2.74-2.91
Ir  0.6379  0.3621  0.9983  5 Ce 2.74-2.91

=====

NbIr3S: optimized geometry, PBE-GGA.

Results
- D(E_F) (states/eV per cell) = 3.7
- ΔE to the lowest computed polymorph (meV/atom) = 0
- calculated density (g/cm³) = 13.59
- symmetry = No. 221

a = 4.4091 Å, b = 4.4091 Å, c = 4.4091 Å
α = 90.00°, β = 90.00°, γ = 90.00°
Closest atoms and distances in Å follow each position.
Sites, in units of the cell vectors:
Nb  0.0000  0.0000  0.0000  12 Ir 3.12
Ir  0.0000  0.5000  0.5000  2 S 2.20
Ir  0.5000  0.0000  0.5000  2 S 2.20
Ir  0.5000  0.5000  0.0000  2 S 2.20
S  0.5000  0.5000  0.5000  6 Ir 2.20

=====

Ir2PtCl: optimized geometry, PBE-GGA.

Results
- D(E_F) (states/eV per cell) = 9.1
- ΔE to the lowest computed polymorph (meV/atom) = 224
- calculated density (g/cm³) = 16.48
- symmetry = No. 65

a = 2.7437 Å, b = 5.0143 Å, c = 9.0063 Å
α = 90.00°, β = 90.00°, γ = 90.00°
Closest atoms and distances in Å follow each position.
Sites, in units of the cell vectors:
Ir  0.0000  0.0000  0.2424  2 Cl 2.58, 2 Pt 2.70, 6 Ir 2.74-2.86
Ir  0.0000  0.0000  0.7576  2 Cl 2.58, 2 Pt 2.70, 6 Ir 2.74-2.86
Ir  0.5000  0.5000  0.2424  2 Cl 2.58, 2 Pt 2.70, 6 Ir 2.74-2.86
Ir  0.5000  0.5000  0.7576  2 Cl 2.58, 2 Pt 2.70, 6 Ir 2.74-2.86
Pt  0.0000  0.5000  0.5000  4 Ir 2.70, 6 Pt 2.74-2.86
Pt  0.5000  0.0000  0.5000  4 Ir 2.70, 6 Pt 2.74-2.86
Cl  0.0000  0.5000  0.0000  4 Ir 2.58, 6 Cl 2.74-2.86
Cl  0.5000  0.0000  0.0000  4 Ir 2.58, 6 Cl 2.74-2.86

=====

ZrAs2Au: optimized geometry, PBE-GGA.

Results
- E_form (meV/atom) = -358
- D(E_F) (states/eV per cell) = 2.8
- calculated density (g/cm³) = 9.32
- symmetry = No. 47

a = 3.5843 Å, b = 3.6008 Å, c = 6.0466 Å
α = 90.00°, β = 90.00°, γ = 90.00°
Closest atoms and distances in Å follow each position.
Sites, in units of the cell vectors:
Zr  0.0000  0.0000  0.0000  8 As 2.88, 2 Au 3.02
As  0.5000  0.5000  0.2234  1 As 2.70, 4 Zr 2.88
As  0.5000  0.5000  0.7766  1 As 2.70, 4 Zr 2.88
Au  0.0000  0.0000  0.5000  2 Zr 3.02, 8 As 3.04

=====

Pm2Sm2Te7: optimized geometry, PBE-GGA.

Results
- D(E_F) (states/eV per cell) = 4.5
- calculated density (g/cm³) = 5.78
- uncorrected energy (eV per atom) = -4.77
- symmetry = No. 65

a = 7.8687 Å, b = 7.8687 Å, c = 6.8839 Å
α = 90.00°, β = 90.00°, γ = 91.96°
Closest atoms and distances in Å follow each position.
Sites, in units of the cell vectors:
Pm  0.2323  0.2323  0.0000  6 Te 3.08-3.29
Pm  0.7677  0.7677  0.0000  6 Te 3.08-3.29
Sm  0.2352  0.7648  0.5000  7 Te 3.00-3.26
Sm  0.7648  0.2352  0.5000  7 Te 3.00-3.26
Te  0.0000  0.0000  0.2526  2 Pm 3.08, 2 Sm 3.16, 1 Te 3.41
Te  0.0000  0.0000  0.7474  2 Pm 3.08, 2 Sm 3.16, 1 Te 3.41
Te  0.0000  0.5000  0.2426  2 Sm 3.26, 2 Pm 3.29, 2 Te 3.34-3.54
Te  0.0000  0.5000  0.7574  2 Sm 3.26, 2 Pm 3.29, 2 Te 3.34-3.54
Te  0.5000  0.0000  0.2426  2 Sm 3.26, 2 Pm 3.29, 2 Te 3.34-3.54
Te  0.5000  0.0000  0.7574  2 Sm 3.26, 2 Pm 3.29, 2 Te 3.34-3.54
Te  0.5000  0.5000  0.5000  2 Sm 3.00

=====

NaAcHg6: optimized geometry, PBE-GGA.

Results
- E_form (meV/atom) = -292
- D(E_F) (states/eV per cell) = 8.9
- ΔE to the lowest computed polymorph (meV/atom) = 12
- calculated density (g/cm³) = 11.05
- symmetry = No. 38

a = 5.2949 Å, b = 6.9105 Å, c = 11.9411 Å
α = 90.00°, β = 90.00°, γ = 90.00°
Closest atoms and distances in Å follow each position.
Sites, in units of the cell vectors:
Na  0.0000  0.0000  0.0000  12 Hg 3.31-3.46
Na  0.0000  0.5000  0.5000  12 Hg 3.31-3.46
Ac  0.5000  0.0000  0.6690  12 Hg 3.39-3.46
Ac  0.5000  0.5000  0.1690  12 Hg 3.39-3.46
Hg  0.0000  0.0000  0.4916  6 Hg 3.24-3.28, 2 Ac 3.39, 2 Na 3.46
Hg  0.0000  0.2336  0.2561  6 Hg 3.23-3.28, 2 Ac 3.39, 2 Na 3.45-3.46
Hg  0.0000  0.2664  0.7561  6 Hg 3.23-3.28, 2 Ac 3.39, 2 Na 3.45-3.46
Hg  0.0000  0.5000  0.9916  6 Hg 3.24-3.28, 2 Ac 3.39, 2 Na 3.46
Hg  0.0000  0.7336  0.7561  6 Hg 3.23-3.28, 2 Ac 3.39, 2 Na 3.45-3.46
Hg  0.0000  0.7664  0.2561  6 Hg 3.23-3.28, 2 Ac 3.39, 2 Na 3.45-3.46
Hg  0.5000  0.0000  0.1664  8 Hg 3.28-3.46, 2 Na 3.31, 2 Ac 3.46
Hg  0.5000  0.2487  0.4181  8 Hg 3.28-3.47, 2 Na 3.31, 2 Ac 3.45
Hg  0.5000  0.2513  0.9181  8 Hg 3.28-3.47, 2 Na 3.31, 2 Ac 3.45
Hg  0.5000  0.5000  0.6664  8 Hg 3.28-3.46, 2 Na 3.31, 2 Ac 3.46
Hg  0.5000  0.7487  0.9181  8 Hg 3.28-3.47, 2 Na 3.31, 2 Ac 3.45
Hg  0.5000  0.7513  0.4181  8 Hg 3.28-3.47, 2 Na 3.31, 2 Ac 3.45

=====

In3BPd: optimized geometry, PBE-GGA.

Results
- E_form (meV/atom) = 523
- D(E_F) (states/eV per cell) = 3.1
- ΔE to the lowest computed polymorph (meV/atom) = 0
- calculated density (g/cm³) = 7.29
- symmetry = No. 221

a = 4.7194 Å, b = 4.7194 Å, c = 4.7194 Å
α = 90.00°, β = 90.00°, γ = 90.00°
Closest atoms and distances in Å follow each position.
Sites, in units of the cell vectors:
In  0.0000  0.0000  0.5000  2 B 2.36
In  0.0000  0.5000  0.0000  2 B 2.36
In  0.5000  0.0000  0.0000  2 B 2.36
B  0.0000  0.0000  0.0000  6 In 2.36
Pd  0.5000  0.5000  0.5000  12 In 3.34

=====

Sm3DyTm2Se6: optimized geometry, PBE-GGA.

Results
- D(E_F) (states/eV per cell) = 5.6
- calculated density (g/cm³) = 8.07
- uncorrected energy (eV per atom) = -5.81
- symmetry = No. 12

a = 7.0616 Å, b = 7.0616 Å, c = 7.2091 Å
α = 99.37°, β = 99.37°, γ = 120.28°
Closest atoms and distances in Å follow each position.
Sites, in units of the cell vectors:
Sm  0.0000  0.0000  0.0000  6 Se 2.94-2.97
Sm  0.3361  0.6639  0.0000  6 Se 2.95-2.96
Sm  0.6639  0.3361  0.0000  6 Se 2.95-2.96
Dy  0.5000  0.5000  0.5000  6 Se 2.87-2.88
Tm  0.1662  0.8338  0.5000  6 Se 2.83-2.85
Tm  0.8338  0.1662  0.5000  6 Se 2.83-2.85
Se  0.0836  0.4211  0.2625  2 Tm 2.84-2.85, 1 Dy 2.88, 3 Sm 2.96-2.97
Se  0.2412  0.2412  0.7355  2 Tm 2.83, 1 Dy 2.87, 3 Sm 2.94-2.95
Se  0.4211  0.0836  0.2625  2 Tm 2.84-2.85, 1 Dy 2.88, 3 Sm 2.96-2.97
Se  0.5789  0.9164  0.7375  2 Tm 2.84-2.85, 1 Dy 2.88, 3 Sm 2.96-2.97
Se  0.7588  0.7588  0.2645  2 Tm 2.83, 1 Dy 2.87, 3 Sm 2.94-2.95
Se  0.9164  0.5789  0.7375  2 Tm 2.84-2.85, 1 Dy 2.88, 3 Sm 2.96-2.97

=====

OsC2: optimized geometry, PBE-GGA.

Results
- E_form (meV/atom) = 1073
- D(E_F) (states/eV per cell) = 5.3
- ΔE to the lowest computed polymorph (meV/atom) = 509
- calculated density (g/cm³) = 12.34
- symmetry = No. 62

a = 5.8775 Å, b = 2.5872 Å, c = 7.5851 Å
α = 90.00°, β = 90.00°, γ = 90.00°
Closest atoms and distances in Å follow each position.
Sites, in units of the cell vectors:
Os  0.1849  0.2500  0.0680  3 C 2.04-2.23
Os  0.3151  0.7500  0.5680  3 C 2.04-2.23
Os  0.6849  0.2500  0.4320  3 C 2.04-2.23
Os  0.8151  0.7500  0.9320  3 C 2.04-2.23
C  0.0051  0.2500  0.3265  2 C 1.48
C  0.1283  0.7500  0.3346  2 C 1.48
C  0.3717  0.2500  0.8346  2 C 1.48
C  0.4949  0.7500  0.8265  2 C 1.48
C  0.5051  0.2500  0.1735  2 C 1.48
C  0.6283  0.7500  0.1654  2 C 1.48
C  0.8717  0.2500  0.6654  2 C 1.48
C  0.9949  0.7500  0.6735  2 C 1.48

=====

KZrN3: optimized geometry, PBE-GGA.

Results
- D(E_F) (states/eV per cell) = 2.4
- calculated density (g/cm³) = 3.49
- uncorrected energy (eV per atom) = -6.56
- symmetry = No. 221

a = 4.3465 Å, b = 4.3465 Å, c = 4.3465 Å
α = 90.00°, β = 90.00°, γ = 90.00°
Closest atoms and distances in Å follow each position.
Sites, in units of the cell vectors:
K  0.0000  0.0000  0.0000  12 N 3.07
Zr  0.5000  0.5000  0.5000  6 N 2.17
N  0.0000  0.5000  0.5000  2 Zr 2.17
N  0.5000  0.0000  0.5000  2 Zr 2.17
N  0.5000  0.5000  0.0000  2 Zr 2.17

=====

BaLa2Os: optimized geometry, PBE-GGA.

Results
- E_form (meV/atom) = 302
- D(E_F) (states/eV per cell) = 4.8
- ΔE to the lowest computed polymorph (meV/atom) = 351
- calculated density (g/cm³) = 7.43
- symmetry = No. 99

a = 3.6425 Å, b = 3.6425 Å, c = 10.1994 Å
α = 90.00°, β = 90.00°, γ = 90.00°
Closest atoms and distances in Å follow each position.
Sites, in units of the cell vectors:
Ba  0.0000  0.0000  0.0000  4 Os 3.35, 1 La 3.59, 4 Ba 3.64
La  0.0000  0.0000  0.6475  4 Os 2.96
La  0.5000  0.5000  0.3568  8 La 3.64-3.93
Os  0.5000  0.5000  0.7899  4 La 2.96

=====

Pr11Ho4Er9: optimized geometry, PBE-GGA.

Results
- E_form (meV/atom) = 57
- D(E_F) (states/eV per cell) = 29.4
- calculated density (g/cm³) = 7.67
- symmetry = No. 65

a = 15.4467 Å, b = 15.4467 Å, c = 3.6686 Å
α = 90.00°, β = 90.00°, γ = 113.19°
Closest atoms and distances in Å follow each position.
Sites, in units of the cell vectors:
Pr  0.0000  0.0000  0.0000  8 Er 3.55, 2 Pr 3.67
Pr  0.0425  0.4049  0.0000  2 Ho 3.41, 6 Er 3.56-3.73, 3 Pr 3.66-3.67
Pr  0.1604  0.8396  0.0000  4 Pr 3.67-3.84, 8 Er 3.75-3.78
Pr  0.2926  0.2926  0.0000  4 Ho 3.32, 2 Pr 3.67, 4 Er 3.67
Pr  0.3685  0.6315  0.0000  4 Ho 3.33, 4 Er 3.62, 2 Pr 3.67
Pr  0.4049  0.0425  0.0000  2 Ho 3.41, 6 Er 3.56-3.73, 3 Pr 3.66-3.67
Pr  0.5951  0.9575  0.0000  2 Ho 3.41, 6 Er 3.56-3.73, 3 Pr 3.66-3.67
Pr  0.6315  0.3685  0.0000  4 Ho 3.33, 4 Er 3.62, 2 Pr 3.67
Pr  0.7074  0.7074  0.0000  4 Ho 3.32, 2 Pr 3.67, 4 Er 3.67
Pr  0.8396  0.1604  0.0000  4 Pr 3.67-3.84, 8 Er 3.75-3.78
Pr  0.9575  0.5951  0.0000  2 Ho 3.41, 6 Er 3.56-3.73, 3 Pr 3.66-3.67
Ho  0.2408  0.4446  0.5000  6 Pr 3.32-3.41, 2 Er 3.49-3.51, 2 Ho 3.67
Ho  0.4446  0.2408  0.5000  6 Pr 3.32-3.41, 2 Er 3.49-3.51, 2 Ho 3.67
Ho  0.5554  0.7592  0.5000  6 Pr 3.32-3.41, 2 Er 3.49-3.51, 2 Ho 3.67
Ho  0.7592  0.5554  0.5000  6 Pr 3.32-3.41, 2 Er 3.49-3.51, 2 Ho 3.67
Er  0.0686  0.2137  0.5000  1 Ho 3.51, 8 Pr 3.55-3.78, 3 Er 3.67-3.74
Er  0.1662  0.6304  0.5000  3 Er 3.46-3.67, 1 Ho 3.49, 8 Pr 3.56-3.75
Er  0.2137  0.0686  0.5000  1 Ho 3.51, 8 Pr 3.55-3.78, 3 Er 3.67-3.74
Er  0.3696  0.8338  0.5000  3 Er 3.46-3.67, 1 Ho 3.49, 8 Pr 3.56-3.75
Er  0.5000  0.5000  0.5000  2 Er 3.67, 4 Ho 3.75, 8 Pr 3.86-3.98
Er  0.6304  0.1662  0.5000  3 Er 3.46-3.67, 1 Ho 3.49, 8 Pr 3.56-3.75
Er  0.7863  0.9314  0.5000  1 Ho 3.51, 8 Pr 3.55-3.78, 3 Er 3.67-3.74
Er  0.8338  0.3696  0.5000  3 Er 3.46-3.67, 1 Ho 3.49, 8 Pr 3.56-3.75
Er  0.9314  0.7863  0.5000  1 Ho 3.51, 8 Pr 3.55-3.78, 3 Er 3.67-3.74